Record 1
Here is crystalline ZrPd2Au at its relaxed geometry from Alexandria via LeMat-Bulk. Energies are from PBE.

Summary:
DFT total energy = -6.25 eV per atom
distance to the lowest polymorph of the same formula = 11 meV per atom

```
data_ZrPd2Au
_cell_length_a 4.774
_cell_length_b 5.009
_cell_length_c 5.762
_cell_angle_alpha 90.01
_cell_angle_beta 90.00
_cell_angle_gamma 90.00
_space_group_name_H-M_alt 'P 1'
_space_group_IT_number 1
_space_group_name_Hall 'P 1'
loop_
_atom_site_label
_atom_site_fract_x
_atom_site_fract_y
_atom_site_fract_z
_atom_site_occupancy
Zr1 0.250 0.835 0.250 1
Zr2 0.750 0.165 0.750 1
Pd1 0.750 0.668 0.499 1
Pd2 0.250 0.332 0.501 1
Pd3 0.750 0.668 0.000 1
Pd4 0.250 0.332 0.000 1
Au1 0.750 0.174 0.250 1
Au2 0.250 0.826 0.750 1
```



Record 2
Here is crystalline Zr2Pd3Au at its relaxed geometry from Alexandria via LeMat-Bulk. Energies are from PBE.

Summary:
DFT total energy = -6.46 eV per atom

```
data_Zr2Pd3Au
_cell_length_a 4.116
_cell_length_b 6.753
_cell_length_c 9.202
_cell_angle_alpha 115.80
_cell_angle_beta 90.00
_cell_angle_gamma 107.74
_space_group_name_H-M_alt 'P 1'
_space_group_IT_number 1
_space_group_name_Hall 'P 1'
loop_
_atom_site_label
_atom_site_fract_x
_atom_site_fract_y
_atom_site_fract_z
_atom_site_occupancy
Zr1 0.518 0.036 0.841 1
Zr2 0.482 0.964 0.159 1
Zr3 0.789 0.577 0.146 1
Zr4 0.211 0.423 0.854 1
Pd1 0.285 0.571 0.614 1
Pd2 0.961 0.923 0.626 1
Pd3 0.622 0.244 0.621 1
Pd4 0.378 0.756 0.379 1
Pd5 0.039 0.077 0.374 1
Pd6 0.715 0.429 0.386 1
Au1 0.871 0.742 0.873 1
Au2 0.129 0.258 0.127 1
```



Record 3
Here is crystalline Zr2Pd7Au3 at its relaxed geometry from Alexandria via LeMat-Bulk. Energies are from PBE.

Summary:
DFT total energy = -5.64 eV per atom
distance to the lowest polymorph of the same formula = 0 meV per atom

```
data_Zr2Pd7Au3
_cell_length_a 4.281
_cell_length_b 4.998
_cell_length_c 13.126
_cell_angle_alpha 125.04
_cell_angle_beta 73.36
_cell_angle_gamma 112.35
_space_group_name_H-M_alt 'P 1'
_space_group_IT_number 1
_space_group_name_Hall 'P 1'
loop_
_atom_site_label
_atom_site_fract_x
_atom_site_fract_y
_atom_site_fract_z
_atom_site_occupancy
Zr1 0.207 0.833 0.715 1
Zr2 0.793 0.167 0.285 1
Pd1 0.909 0.322 0.783 1
Pd2 0.836 0.751 0.538 1
Pd3 0.000 0.000 0.000 1
Pd4 0.091 0.678 0.217 1
Pd5 0.448 0.186 0.143 1
Pd6 0.552 0.814 0.857 1
Pd7 0.164 0.249 0.462 1
Au1 0.500 0.500 0.000 1
Au2 0.463 0.718 0.380 1
Au3 0.537 0.282 0.620 1
```



Record 4
Here is crystalline ZrPdAu6 at its relaxed geometry from Alexandria via LeMat-Bulk. Energies are from PBE.

Summary:
DFT total energy = -4.44 eV per atom

```
data_ZrPdAu6
_cell_length_a 4.204
_cell_length_b 5.037
_cell_length_c 7.809
_cell_angle_alpha 79.67
_cell_angle_beta 74.38
_cell_angle_gamma 65.34
_space_group_name_H-M_alt 'P 1'
_space_group_IT_number 1
_space_group_name_Hall 'P 1'
loop_
_atom_site_label
_atom_site_fract_x
_atom_site_fract_y
_atom_site_fract_z
_atom_site_occupancy
Zr1 0.000 0.000 0.000 1
Pd1 0.000 0.500 0.500 1
Au1 0.249 0.880 0.623 1
Au2 0.500 0.251 0.750 1
Au3 0.249 0.374 0.129 1
Au4 0.500 0.749 0.250 1
Au5 0.751 0.120 0.377 1
Au6 0.751 0.626 0.871 1
```



Record 5
Here is crystalline ZrPdAu3 at its relaxed geometry from Alexandria via LeMat-Bulk. Energies are from PBE.

Summary:
DFT total energy = -5.03 eV per atom
distance to the lowest polymorph of the same formula = 37 meV per atom

```
data_ZrPdAu3
_cell_length_a 5.431
_cell_length_b 7.381
_cell_length_c 4.814
_cell_angle_alpha 90.00
_cell_angle_beta 89.90
_cell_angle_gamma 90.00
_space_group_name_H-M_alt 'P 1'
_space_group_IT_number 1
_space_group_name_Hall 'P 1'
loop_
_atom_site_label
_atom_site_fract_x
_atom_site_fract_y
_atom_site_fract_z
_atom_site_occupancy
Zr1 0.745 0.750 0.189 1
Zr2 0.255 0.250 0.811 1
Pd1 0.499 0.750 0.664 1
Pd2 0.501 0.250 0.336 1
Au1 0.257 0.937 0.173 1
Au2 0.743 0.063 0.827 1
Au3 0.257 0.563 0.173 1
Au4 0.743 0.437 0.827 1
Au5 0.018 0.750 0.671 1
Au6 0.982 0.250 0.329 1
```



Record 6
Here is crystalline Zr2PdAu at its relaxed geometry from Alexandria via LeMat-Bulk. Energies are from PBE.

Summary:
DFT total energy = -6.59 eV per atom

```
data_Zr2PdAu
_cell_length_a 7.590
_cell_length_b 7.590
_cell_length_c 6.078
_cell_angle_alpha 51.37
_cell_angle_beta 51.37
_cell_angle_gamma 90.00
_space_group_name_H-M_alt 'P 1'
_space_group_IT_number 1
_space_group_name_Hall 'P 1'
loop_
_atom_site_label
_atom_site_fract_x
_atom_site_fract_y
_atom_site_fract_z
_atom_site_occupancy
Au1 0.000 0.000 0.000 1
Au2 0.750 0.250 0.500 1
Zr1 0.612 0.125 0.250 1
Zr2 0.138 0.625 0.250 1
Zr3 0.375 0.388 0.750 1
Zr4 0.875 0.862 0.750 1
Pd1 0.500 0.500 0.000 1
Pd2 0.250 0.750 0.500 1
```



Record 7
Here is crystalline ZrPd5Au6 at its relaxed geometry from Alexandria via LeMat-Bulk. Energies are from PBE.

Summary:
DFT total energy = -4.79 eV per atom
distance to the lowest polymorph of the same formula = 0 meV per atom

```
data_ZrPd5Au6
_cell_length_a 9.086
_cell_length_b 4.085
_cell_length_c 6.499
_cell_angle_alpha 71.80
_cell_angle_beta 81.87
_cell_angle_gamma 63.21
_space_group_name_H-M_alt 'P 1'
_space_group_IT_number 1
_space_group_name_Hall 'P 1'
loop_
_atom_site_label
_atom_site_fract_x
_atom_site_fract_y
_atom_site_fract_z
_atom_site_occupancy
Zr1 0.000 0.000 0.000 1
Pd1 0.500 0.166 0.669 1
Pd2 0.000 0.339 0.322 1
Pd3 0.500 0.500 0.000 1
Pd4 0.000 0.661 0.678 1
Pd5 0.500 0.834 0.331 1
Au1 0.747 0.084 0.336 1
Au2 0.253 0.580 0.336 1
Au3 0.255 0.245 0.000 1
Au4 0.745 0.755 0.000 1
Au5 0.747 0.420 0.664 1
Au6 0.253 0.916 0.664 1
```



Record 8
Here is crystalline ZrPdAu3 at its relaxed geometry from Alexandria via LeMat-Bulk. Energies are from PBE.

Summary:
DFT total energy = -5.07 eV per atom
distance to the lowest polymorph of the same formula = 0 meV per atom

```
data_ZrPdAu3
_cell_length_a 4.964
_cell_length_b 5.591
_cell_length_c 7.060
_cell_angle_alpha 90.00
_cell_angle_beta 110.81
_cell_angle_gamma 90.00
_space_group_name_H-M_alt 'P 1'
_space_group_IT_number 1
_space_group_name_Hall 'P 1'
loop_
_atom_site_label
_atom_site_fract_x
_atom_site_fract_y
_atom_site_fract_z
_atom_site_occupancy
Zr1 0.398 0.250 0.295 1
Zr2 0.602 0.750 0.705 1
Pd1 0.618 0.250 0.733 1
Pd2 0.382 0.750 0.267 1
Au1 0.808 0.002 0.115 1
Au2 0.192 0.998 0.885 1
Au3 0.808 0.498 0.115 1
Au4 0.192 0.502 0.885 1
Au5 0.006 0.250 0.509 1
Au6 0.994 0.750 0.491 1
```



Record 9
Here is crystalline ZrPdAu3 at its relaxed geometry from Alexandria via LeMat-Bulk. Energies are from PBE.

Summary:
DFT total energy = -4.04 eV per atom
distance to the lowest polymorph of the same formula = 1030 meV per atom

```
data_ZrPdAu3
_cell_length_a 4.954
_cell_length_b 4.954
_cell_length_c 4.954
_cell_angle_alpha 90.00
_cell_angle_beta 90.00
_cell_angle_gamma 90.00
_space_group_name_H-M_alt 'P 1'
_space_group_IT_number 1
_space_group_name_Hall 'P 1'
loop_
_atom_site_label
_atom_site_fract_x
_atom_site_fract_y
_atom_site_fract_z
_atom_site_occupancy
Au1 0.000 0.500 0.000 1
Au2 0.000 0.000 0.500 1
Au3 0.500 0.000 0.000 1
Zr1 0.500 0.500 0.500 1
Pd1 0.000 0.000 0.000 1
```



Record 10
Here is crystalline Zr3PdAu at its relaxed geometry from Alexandria via LeMat-Bulk. Energies are from PBE.

Summary:
DFT total energy = -7.10 eV per atom
distance to the lowest polymorph of the same formula = 0 meV per atom

```
data_Zr3PdAu
_cell_length_a 7.806
_cell_length_b 7.661
_cell_length_c 7.661
_cell_angle_alpha 77.69
_cell_angle_beta 73.73
_cell_angle_gamma 73.73
_space_group_name_H-M_alt 'P 1'
_space_group_IT_number 1
_space_group_name_Hall 'P 1'
loop_
_atom_site_label
_atom_site_fract_x
_atom_site_fract_y
_atom_site_fract_z
_atom_site_occupancy
Zr1 0.611 0.698 0.025 1
Zr2 0.889 0.975 0.302 1
Zr3 0.389 0.302 0.975 1
Zr4 0.111 0.025 0.698 1
Zr5 0.978 0.320 0.965 1
Zr6 0.522 0.035 0.680 1
Zr7 0.022 0.680 0.035 1
Zr8 0.478 0.965 0.320 1
Zr9 0.399 0.674 0.710 1
Zr10 0.101 0.290 0.326 1
Zr11 0.601 0.326 0.290 1
Zr12 0.899 0.710 0.674 1
Pd1 0.701 0.429 0.802 1
Pd2 0.799 0.198 0.571 1
Pd3 0.299 0.571 0.198 1
Pd4 0.201 0.802 0.429 1
Au1 0.250 0.965 0.035 1
Au2 0.750 0.035 0.965 1
Au3 0.250 0.395 0.605 1
Au4 0.750 0.605 0.395 1
```



Record 11
Here is crystalline Zr2Pd8Au at its relaxed geometry from Alexandria via LeMat-Bulk. Energies are from PBE.

Summary:
DFT total energy = -6.13 eV per atom

```
data_Zr2Pd8Au
_cell_length_a 4.089
_cell_length_b 6.547
_cell_length_c 7.497
_cell_angle_alpha 106.90
_cell_angle_beta 105.83
_cell_angle_gamma 90.00
_space_group_name_H-M_alt 'P 1'
_space_group_IT_number 1
_space_group_name_Hall 'P 1'
loop_
_atom_site_label
_atom_site_fract_x
_atom_site_fract_y
_atom_site_fract_z
_atom_site_occupancy
Zr1 0.783 0.336 0.565 1
Zr2 0.217 0.664 0.435 1
Pd1 0.405 0.550 0.810 1
Pd2 0.677 0.906 0.354 1
Pd3 0.854 0.801 0.709 1
Pd4 0.958 0.275 0.917 1
Pd5 0.146 0.199 0.291 1
Pd6 0.323 0.094 0.646 1
Pd7 0.595 0.450 0.190 1
Pd8 0.042 0.725 0.083 1
Au1 0.500 0.000 0.000 1
```



no.,formation energy (eV/atom)
1,-0.695
2,-0.464
3,-0.371
4,-0.268
5,-0.317
6,-0.200
7,-0.280
8,-0.354
9,0.677
10,-0.279
11,-0.503